A relaxed BrCl crystal, computed with GGA-PBE.

Results
- offset from the most stable computed form (meV per atom) = 237
- space-group type = No. 74

Lattice parameters (Å, degrees): 6.244 6.245 6.247 145.56 100.42 89.66
Sites, in units of the cell vectors:
Cl  0.551  0.551  0.000
Br  0.981  0.981  0.000
Br  0.769  0.269  0.500
Cl  0.199  0.699  0.500